! AlGaO2 | the Alexandria database | SCAN | PBEsol geometry; values from VASP
&SYSTEM
  ibrav = 0, nat = 4, ntyp = 3
/
ATOMIC_SPECIES
O 16.00 O.upf
Ga 69.72 Ga.upf
Al 26.98 Al.upf
CELL_PARAMETERS angstrom
2.807 0.000 0.000
1.404 2.431 0.000
1.404 0.810 6.072
ATOMIC_POSITIONS angstrom
O 1.404 0.810 4.019
O 4.211 2.431 2.053
Ga 0.000 0.000 0.000
Al 2.807 1.621 3.036
! space-group type = R-3m (166)
! total magnetic moment = 0.00 μB/f.u.
! formation energy without anion corrections = -9.7 eV per formula unit